No. 1
## TaPb2 (PBE)

Data for a geometry-optimized TaPb2 structure.

abc: 3.1987 3.1987 8.9587
angles: 90.00 90.00 120.00
Atoms (fractional coordinates):
Ta: 0.0000 0.0000 0.0000
Pb: 0.3333 0.6667 0.2886
Pb: 0.6667 0.3333 0.7114

## Properties
- Crystal system: trigonal
- Formation energy from the elements: 0.454 eV per atom

No. 2
## PmURu2 (PBE)

Data for a geometry-optimized PmURu2 structure.

abc: 3.3600 3.3600 7.2498
angles: 90.00 90.00 90.00
Atoms (fractional coordinates):
Pm: 0.0000 0.0000 0.0000
U: 0.0000 0.0000 0.5000
Ru: 0.5000 0.5000 0.2995
Ru: 0.5000 0.5000 0.7005

## Properties
- Crystal system: tetragonal
- Formation energy from the elements: -0.268 eV per atom
- Energy above the most stable polymorph in this dataset: 0.0 meV per atom

No. 3
## MoAuBr2 (PBE)

Data for a geometry-optimized MoAuBr2 structure.

abc: 3.7764 4.1515 6.2032
angles: 90.00 90.00 90.00
Atoms (fractional coordinates):
Mo: 0.0000 0.0000 0.0000
Au: 0.5000 0.0000 0.5000
Br: 0.0000 0.5000 0.5000
Br: 0.5000 0.5000 0.0000

## Properties
- Crystal system: orthorhombic
- Formation energy without anion corrections: 0.703 eV per atom
- Energy above the most stable polymorph in this dataset: 619.2 meV per atom

No. 4
## TmScZnAu (PBE)

Data for a geometry-optimized TmScZnAu structure.

abc: 6.9273 6.9273 6.9273
angles: 90.00 90.00 90.00
Atoms (fractional coordinates):
Tm: 0.0000 0.0000 0.0000
Tm: 0.0000 0.5000 0.5000
Tm: 0.5000 0.0000 0.5000
Tm: 0.5000 0.5000 0.0000
Sc: 0.0000 0.0000 0.5000
Sc: 0.0000 0.5000 0.0000
Sc: 0.5000 0.0000 0.0000
Sc: 0.5000 0.5000 0.5000
Zn: 0.2500 0.2500 0.2500
Zn: 0.2500 0.7500 0.7500
Zn: 0.7500 0.2500 0.7500
Zn: 0.7500 0.7500 0.2500
Au: 0.2500 0.2500 0.7500
Au: 0.2500 0.7500 0.2500
Au: 0.7500 0.2500 0.2500
Au: 0.7500 0.7500 0.7500

## Properties
- Crystal system: cubic
- Formation energy from the elements: -0.591 eV per atom

Calculated raw total energy in order - -17.91; -35.66; -14.64; -17.72 eV per formula unit